Entry from Alexandria via LeMat-Bulk: BeWNF2 after structural relaxation (PBE+U).

Properties
Calculated total energy: -29.59 eV per cell
M_tot: 2.80 μB/f.u.
Energy above the most stable polymorph in this dataset: 0.0 meV/atom

a b c (Å): 3.1350 3.1350 6.3549
angles (deg): 90.00 90.00 90.00
With the nearest neighbours (Å) after each atom.
Positions (direct):
1 Be 0.0000 0.0000 0.0000  4 F 1.57
2 N 0.0000 0.0000 0.5000  4 W 2.22
3 W 0.5000 0.5000 0.5000  4 N 2.22
4 F 0.0000 0.5000 0.0000  2 Be 1.57
5 F 0.5000 0.0000 0.0000  2 Be 1.57